[1]
! VBiS3 PBE relaxed; values from VASP
! Energy = -0.41326 Ry/atom
! ΔE_f (raw) = -2.732 eV per formula unit
! Distance to the lowest polymorph of the same formula = 0.00 eV per formula unit
&SYSTEM
  ibrav = 0, nat = 10, ntyp = 3
/
ATOMIC_SPECIES
S 32.06 S.upf
Bi 208.98 Bi.upf
V 50.94 V.upf
CELL_PARAMETERS angstrom
-0.8632 -0.0263 -4.5083
0.1125 -5.6889 -2.3252
-7.8831 -4.5895 -0.8007
ATOMIC_POSITIONS angstrom
S -3.0050 -3.3834 -1.7418
S -6.4743 -3.9926 -1.0740
S -5.6288 -6.9213 -5.8926
S -7.5723 -6.2924 -3.1872
S -1.0615 -4.0123 -4.4471
Bi -5.3909 -3.7970 -3.6194
Bi -3.2430 -6.5077 -4.0149
V -8.0854 -6.4426 -5.4250
V -0.5484 -3.8621 -2.2093
S -2.1595 -6.3121 -6.5604

[2]
! VBiS PBE relaxed; values from VASP
! Energy = -0.44575 Ry/atom
! ΔE_f (raw) = -1.067 eV per formula unit
! Distance to the lowest polymorph of the same formula = 0.13 eV per formula unit
&SYSTEM
  ibrav = 0, nat = 9, ntyp = 3
/
ATOMIC_SPECIES
Bi 208.98 Bi.upf
S 32.06 S.upf
V 50.94 V.upf
CELL_PARAMETERS angstrom
3.2937 0.0000 0.0000
-1.6468 2.8524 0.0000
0.0000 0.0000 20.8164
ATOMIC_POSITIONS angstrom
Bi 0.0000 1.9016 13.0265
S 0.0000 0.0000 2.7934
S 1.6468 0.9508 9.7322
S 0.0000 1.9016 16.6711
V 1.6468 0.9508 15.3482
V 0.0000 0.0000 8.4094
Bi 1.6468 0.9508 6.0877
V 0.0000 1.9016 1.4706
Bi 0.0000 0.0000 19.9653

[3]
! VBiS3 PBE relaxed; values from VASP
! Energy = -0.38891 Ry/atom
! ΔE_f (raw) = -1.075 eV per formula unit
! Distance to the lowest polymorph of the same formula = 1.66 eV per formula unit
&SYSTEM
  ibrav = 0, nat = 5, ntyp = 3
/
ATOMIC_SPECIES
S 32.06 S.upf
Bi 208.98 Bi.upf
V 50.94 V.upf
CELL_PARAMETERS angstrom
-2.7566 -1.0595 -3.6155
2.9748 -3.3611 -1.2832
-2.3119 -3.0616 2.6599
ATOMIC_POSITIONS angstrom
S 1.4874 -1.6806 -0.6416
Bi -1.0468 -3.7411 -1.1194
S -1.1559 -1.5308 1.3299
V 0.0000 0.0000 0.0000
S -1.3783 -0.5297 -1.8077

[4]
! VBiS PBE relaxed; values from VASP
! Energy = -0.44607 Ry/atom
! ΔE_f (raw) = -1.080 eV per formula unit
! Distance to the lowest polymorph of the same formula = 0.11 eV per formula unit
&SYSTEM
  ibrav = 0, nat = 12, ntyp = 3
/
ATOMIC_SPECIES
Bi 208.98 Bi.upf
S 32.06 S.upf
V 50.94 V.upf
CELL_PARAMETERS angstrom
-4.9391 -1.6736 -4.9516
-1.9310 -1.1218 2.3052
-2.1178 11.3261 3.7375
ATOMIC_POSITIONS angstrom
Bi -2.9784 -0.3857 -0.4483
S -6.1430 8.4153 -1.0506
S -6.6787 5.0040 -0.9250
Bi -3.0719 5.8382 0.2679
Bi -3.7307 8.7766 1.1458
S -6.0496 2.1913 -1.7668
Bi -3.6373 2.5526 0.4297
V -4.6562 4.2299 -1.8419
V -6.6806 9.3321 1.1795
S -4.6543 -0.0982 -3.9464
V -3.8845 1.5403 -2.5043
V -5.9089 6.6424 0.5171